# 1
Material: MnSi2Mo
Method: DFT, PBE
State: relaxed

Summary:
D(E_F) (states/eV/cell): 7.5
Magnetic moment (Bohr magnetons per cell): 1.86
E_form (uncorrected) (kJ/mol of formula units): 12

The structure in CIF format:
```
data_MnSi2Mo
_chemical_formula_sum 'Mn3 Si6 Mo3'
_symmetry_space_group_name_H-M 'R 3 m'
_symmetry_Int_Tables_number 160
_symmetry_space_group_name_Hall 'R 3 -2"'
_cell_length_a 2.8288
_cell_length_b 2.8288
_cell_length_c 23.4781
_cell_angle_alpha 90.00
_cell_angle_beta 90.00
_cell_angle_gamma 120.00
loop_
_atom_site_label
_atom_site_type_symbol
_atom_site_fract_x
_atom_site_fract_y
_atom_site_fract_z
Mn1 Mn 0.0000 0.0000 0.0000
Si1 Si 0.0000 0.0000 0.4952
Si2 Si 0.0000 0.0000 0.7411
Mo1 Mo 0.0000 0.0000 0.2486
```

***

# 2
Material: RbGaSb2Au
Method: DFT, PBE
State: relaxed

Summary:
D(E_F) (states/eV/cell): 5.9
Magnetic moment (Bohr magnetons per cell): 0.00
E_form (uncorrected) (kJ/mol of formula units): -111

The structure in CIF format:
```
data_RbGaSb2Au
_chemical_formula_sum 'Rb4 Ga4 Sb8 Au4'
_symmetry_space_group_name_H-M 'C m m e'
_symmetry_Int_Tables_number 67
_symmetry_space_group_name_Hall '-C 2a 2'
_cell_length_a 7.4577
_cell_length_b 12.1345
_cell_length_c 7.5622
_cell_angle_alpha 90.00
_cell_angle_beta 90.00
_cell_angle_gamma 90.00
loop_
_atom_site_label
_atom_site_type_symbol
_atom_site_fract_x
_atom_site_fract_y
_atom_site_fract_z
Rb1 Rb 0.0000 0.2500 0.2358
Ga1 Ga 0.2500 0.0000 0.5000
Sb1 Sb 0.0000 0.1085 0.6962
Au1 Au 0.0000 0.0000 0.0000
```

***

# 3
Material: LaAgSbO
Method: DFT, PBE
State: relaxed

Summary:
D(E_F) (states/eV/cell): 2.4
Magnetic moment (Bohr magnetons per cell): 0.00
E_form (uncorrected) (kJ/mol of formula units): -645

The structure in CIF format:
```
data_LaAgSbO
_chemical_formula_sum 'La2 Ag2 Sb2 O2'
_symmetry_space_group_name_H-M 'P 4/n m m'
_symmetry_Int_Tables_number 129
_cell_length_a 4.1717
_cell_length_b 4.1717
_cell_length_c 10.4251
_cell_angle_alpha 90.00
_cell_angle_beta 90.00
_cell_angle_gamma 90.00
loop_
_symmetry_equiv_pos_as_xyz
'x,y,z'
'-x,-y,-z'
'-y+1/2,x,z'
'y+1/2,-x,-z'
'-x+1/2,-y+1/2,z'
'x+1/2,y+1/2,-z'
'y,-x+1/2,z'
'-y,x+1/2,-z'
'x+1/2,-y,-z'
'-x+1/2,y,z'
'-y,-x,-z'
'y,x,z'
'-x,y+1/2,-z'
'x,-y+1/2,z'
'y+1/2,x+1/2,-z'
'-y+1/2,-x+1/2,z'
loop_
_atom_site_label
_atom_site_type_symbol
_atom_site_fract_x
_atom_site_fract_y
_atom_site_fract_z
La1 La 0.2500 0.2500 0.1134
Ag1 Ag 0.2500 0.7500 0.5000
Sb1 Sb 0.2500 0.2500 0.6868
O1 O 0.2500 0.7500 0.0000
```